The following is a PBE calculation of a relaxed structure of Pr2BeSbPd6, from Alexandria via LeMat-Bulk.

Lattice parameters (Å, degrees): 5.9107 5.9403 7.2652 67.85 67.23 60.83
Closest atoms and distances in Å follow each position.
Space group P-1 (No. 2)
Symmetry-distinct sites (fractional):
Pr  0.2459  0.2517  0.2969 x2  8 Pd 3.03-3.39
Be  0.0000  0.0000  0.0000 x1  6 Pd 2.14-2.16
Sb  0.5000  0.5000  0.5000 x1  6 Pd 2.65-2.69
Pd  0.2134  0.6788  0.8448 x2  1 Be 2.16
Pd  0.2293  0.2213  0.7834 x2  1 Be 2.14
Pd  0.3062  0.7916  0.1667 x2  1 Be 2.16

## Properties
- calculated total energy (eV per atom) = -5.498
- ΔE_f (raw) (meV per atom) = -642